Below is an optimized crystal structure of ThPa2, with properties calculated at the PBE level.

Summary:
total magnetic moment = 0.00 μB/atom
energy relative to the elements = 0.068 eV/atom
density of states at the Fermi level = 1.509 states/eV/atom
crystal system = tetragonal

Cell: 3.359 3.359 14.415 Å, 90.00 90.00 90.00°
Space group I4/mmm (No. 139)
One atom of each set of equivalent atoms:
1 Th 0.000 0.000 0.000 [2 per cell]
2 Pa 0.000 0.000 0.330 [4 per cell]